Record 1
# AcDy6Er2 PBE-GGA optimized geometry
data_AcDy6Er2
_symmetry_space_group_name_H-M 'P -6 m 2'
_symmetry_Int_Tables_number 187
_symmetry_space_group_name_Hall 'P -6 2'
_cell_length_a 3.6134
_cell_length_b 3.6134
_cell_length_c 26.3441
_cell_angle_alpha 90.00
_cell_angle_beta 90.00
_cell_angle_gamma 120.00
loop_
_atom_site_label
_atom_site_type_symbol
_atom_site_fract_x
_atom_site_fract_y
_atom_site_fract_z
Ac1 Ac 0.0000 0.0000 0.0000
Dy1 Dy 0.0000 0.0000 0.2245
Dy2 Dy 0.0000 0.0000 0.4354
Dy3 Dy 0.3333 0.6667 0.1183
Er1 Er 0.3333 0.6667 0.3314
# E = -4.46 eV/atom
# formation energy from the elements = 1.799 kcal/mol of atoms
# relative energy among the computed polymorphs = 0 meV/atom

Record 2
# Pr5DyTm3 PBE-GGA optimized geometry
data_Pr5DyTm3
_symmetry_space_group_name_H-M 'I 4/m c m'
_symmetry_Int_Tables_number 140
_symmetry_space_group_name_Hall '-I 4 2c'
_cell_length_a 9.345
_cell_length_b 9.345
_cell_length_c 14.325
_cell_angle_alpha 90.00
_cell_angle_beta 90.00
_cell_angle_gamma 90.00
loop_
_atom_site_label
_atom_site_type_symbol
_atom_site_fract_x
_atom_site_fract_y
_atom_site_fract_z
Pr1 Pr 0.000 0.000 0.000
Pr2 Pr 0.201 0.299 0.133
Dy1 Dy 0.000 0.500 0.250
Tm1 Tm 0.000 0.000 0.250
Tm2 Tm 0.109 0.391 0.500
# E = -4.34 eV/atom
# formation energy from the elements = 7.227 kcal/mol of atoms
# relative energy among the computed polymorphs = 40 meV/atom

Record 3
# La7Nd2Y3 PBE-GGA optimized geometry
data_La7Nd2Y3
_symmetry_space_group_name_H-M 'P 1 2/m 1'
_symmetry_Int_Tables_number 10
_cell_length_a 6.025
_cell_length_b 3.681
_cell_length_c 19.325
_cell_angle_alpha 90.00
_cell_angle_beta 93.75
_cell_angle_gamma 90.00
loop_
_symmetry_equiv_pos_as_xyz
'x,y,z'
'-x,-y,-z'
'-x,y,-z'
'x,-y,z'
loop_
_atom_site_label
_atom_site_type_symbol
_atom_site_fract_x
_atom_site_fract_y
_atom_site_fract_z
La1 La 0.000 0.000 0.000
La2 La 0.169 0.500 0.181
La3 La 0.259 0.500 0.533
La4 La 0.330 0.000 0.854
Nd1 Nd 0.298 0.500 0.700
Y1 Y 0.214 0.000 0.365
Y2 Y 0.500 0.500 0.000
# E = -5.21 eV/atom
# formation energy from the elements = 1.842 kcal/mol of atoms
# relative energy among the computed polymorphs = 26 meV/atom

Record 4
# Hf2VTe6 PBE-GGA optimized geometry
data_Hf2VTe6
_symmetry_space_group_name_H-M 'C 1 2/m 1'
_symmetry_Int_Tables_number 12
_cell_length_a 18.465
_cell_length_b 3.857
_cell_length_c 8.747
_cell_angle_alpha 90.00
_cell_angle_beta 112.46
_cell_angle_gamma 90.00
loop_
_symmetry_equiv_pos_as_xyz
'x,y,z'
'-x,-y,-z'
'-x,y,-z'
'x,-y,z'
'x+1/2,y+1/2,z'
'-x+1/2,-y+1/2,-z'
'-x+1/2,y+1/2,-z'
'x+1/2,-y+1/2,z'
loop_
_atom_site_label
_atom_site_type_symbol
_atom_site_fract_x
_atom_site_fract_y
_atom_site_fract_z
Hf1 Hf 0.163 0.000 0.326
V1 V 0.000 0.500 0.000
Te1 Te 0.002 0.000 0.773
Te2 Te 0.162 0.500 0.082
Te3 Te 0.167 0.500 0.575
# E = -5.95 eV/atom
# raw formation energy = -0.6308 eV/atom

Record 5
# RbHOF2 PBE-GGA optimized geometry
data_RbHOF2
_symmetry_space_group_name_H-M 'P 4/m m m'
_symmetry_Int_Tables_number 123
_symmetry_space_group_name_Hall '-P 4 2'
_cell_length_a 4.789
_cell_length_b 4.789
_cell_length_c 2.800
_cell_angle_alpha 90.00
_cell_angle_beta 90.00
_cell_angle_gamma 90.00
loop_
_atom_site_label
_atom_site_type_symbol
_atom_site_fract_x
_atom_site_fract_y
_atom_site_fract_z
Rb1 Rb 0.000 0.000 0.000
H1 H 0.500 0.500 0.500
O1 O 0.500 0.500 0.000
F1 F 0.000 0.500 0.500
# E = -3.37 eV/atom
# relative energy among the computed polymorphs = 0 meV/atom

Record 6
# Gd2CuAu PBE-GGA optimized geometry
data_Gd2CuAu
_symmetry_space_group_name_H-M 'F m -3 m'
_symmetry_Int_Tables_number 225
_symmetry_space_group_name_Hall '-F 4 2 3'
_cell_length_a 7.172
_cell_length_b 7.172
_cell_length_c 7.172
_cell_angle_alpha 90.00
_cell_angle_beta 90.00
_cell_angle_gamma 90.00
loop_
_atom_site_label
_atom_site_type_symbol
_atom_site_fract_x
_atom_site_fract_y
_atom_site_fract_z
Gd1 Gd 0.250 0.250 0.250
Cu1 Cu 0.000 0.000 0.000
Au1 Au 0.000 0.000 0.500
# E = -9.40 eV/atom
# formation energy from the elements = -11.841 kcal/mol of atoms